1.
Ti2CCl (PBE, optimized geometry); formation energy without anion corrections = -0.003 eV/atom; SG = No. 225; DFT total energy = -26.9 eV/cell; crystal system = cubic
1.0
0.468 -4.069 -0.143
1.568 -1.997 3.217
-2.398 -2.420 2.277
C Ti Cl
1 2 1
Direct
0.000 0.000 0.000 C
0.750 0.750 0.750 Ti
0.250 0.250 0.250 Ti
0.500 0.500 0.500 Cl

***

2.
Ti3ZnIr3 (PBE, optimized geometry); SG = No. 65; formation energy = -54.68 kJ per mole of atoms; DFT total energy = -111.0 eV/cell; crystal system = orthorhombic
1.0
6.167 -0.023 -0.001
-0.009 6.167 -0.001
0.001 0.001 5.897
Ti Ir Zn
6 6 2
Direct
0.728 0.272 0.500 Ti
0.259 0.259 0.500 Ti
0.251 0.749 0.000 Ti
0.749 0.251 0.000 Ti
0.741 0.741 0.500 Ti
0.272 0.728 0.500 Ti
0.500 0.000 0.748 Ir
0.000 0.500 0.748 Ir
0.000 0.000 0.744 Ir
0.500 0.000 0.252 Ir
0.000 0.000 0.256 Ir
0.000 0.500 0.252 Ir
0.726 0.726 0.000 Zn
0.274 0.274 0.000 Zn

***

3.
Ta4HgSe (PBE, optimized geometry); formation energy without anion corrections = 0.613 eV/atom; SG = No. 216; DFT total energy = -47.5 eV/cell; crystal system = cubic
1.0
-2.317 -4.490 2.290
-3.829 -2.878 -2.798
1.207 -5.048 -1.958
Ta Se Hg
4 1 1
Direct
0.376 0.376 0.871 Ta
0.376 0.376 0.376 Ta
0.871 0.376 0.376 Ta
0.376 0.871 0.376 Ta
0.000 0.000 0.000 Se
0.750 0.750 0.750 Hg

***

Q: Which of these has the highest DFT total energy?
A: Ti2CCl